(1)
Compound: Pm6Si3Ir
Source: Alexandria
Functional: GGA-PBE
Structure: relaxed

Calculated values
E_form (uncorrected)	-0.4143	eV per atom
symmetry	No. 36

Cell lengths 7.242, 9.133, 9.133 Å; angles 104.25, 90.00, 90.00 degrees
Fractional positions:
Pm  0.163  0.706  0.641
Pm  0.663  0.641  0.706
Pm  0.199  0.424  0.897
Pm  0.699  0.897  0.424
Pm  0.264  0.007  0.993
Pm  0.657  0.239  0.761
Pm  0.157  0.761  0.239
Pm  0.764  0.993  0.007
Pm  0.199  0.103  0.576
Pm  0.699  0.576  0.103
Pm  0.163  0.359  0.294
Pm  0.663  0.294  0.359
Si  0.482  0.930  0.705
Si  0.982  0.705  0.930
Si  0.379  0.403  0.597
Si  0.879  0.597  0.403
Si  0.982  0.070  0.295
Si  0.482  0.295  0.070
Ir  0.997  0.151  0.849
Ir  0.497  0.849  0.151


(2)
Compound: Pm3Si2Ir3
Source: Alexandria
Functional: GGA-PBE
Structure: relaxed

Calculated values
E_form (uncorrected)	-0.8819	eV per atom
symmetry	No. 63

Cell lengths 4.168, 5.622, 15.134 Å; angles 90.00, 90.00, 111.76 degrees
Fractional positions:
Pm  0.930  0.860  0.391
Pm  0.070  0.140  0.891
Pm  0.930  0.860  0.109
Pm  0.070  0.140  0.609
Pm  0.638  0.276  0.250
Pm  0.362  0.724  0.750
Si  0.780  0.559  0.898
Si  0.220  0.441  0.398
Si  0.780  0.559  0.602
Si  0.220  0.441  0.102
Ir  0.653  0.306  0.463
Ir  0.347  0.694  0.963
Ir  0.653  0.306  0.037
Ir  0.347  0.694  0.537
Ir  0.329  0.658  0.250
Ir  0.671  0.342  0.750


(3)
Compound: Pm3Si3Ir2
Source: Alexandria
Functional: GGA-PBE
Structure: relaxed

Calculated values
E_form (uncorrected)	-0.8973	eV per atom
symmetry	No. 63

Cell lengths 4.276, 5.856, 14.351 Å; angles 90.00, 90.00, 111.41 degrees
Fractional positions:
Pm  0.923  0.845  0.390
Pm  0.077  0.155  0.890
Pm  0.923  0.845  0.110
Pm  0.077  0.155  0.610
Pm  0.641  0.283  0.250
Pm  0.359  0.717  0.750
Si  0.641  0.281  0.464
Si  0.359  0.719  0.964
Si  0.641  0.281  0.036
Si  0.359  0.719  0.536
Si  0.333  0.667  0.250
Si  0.667  0.333  0.750
Ir  0.793  0.586  0.900
Ir  0.207  0.414  0.400
Ir  0.793  0.586  0.600
Ir  0.207  0.414  0.100


(4)
Compound: PmSi4Ir2
Source: Alexandria
Functional: GGA-PBE
Structure: relaxed

Calculated values
E_form (uncorrected)	-0.7706	eV per atom
symmetry	No. 62

Cell lengths 4.191, 6.459, 16.785 Å; angles 90.00, 90.00, 90.00 degrees
Fractional positions:
Pm  0.750  0.008  0.641
Pm  0.250  0.992  0.359
Pm  0.250  0.508  0.859
Pm  0.750  0.492  0.141
Si  0.250  0.287  0.694
Si  0.750  0.713  0.306
Si  0.750  0.787  0.806
Si  0.250  0.213  0.194
Si  0.250  0.691  0.681
Si  0.750  0.309  0.319
Si  0.750  0.191  0.819
Si  0.250  0.809  0.181
Si  0.250  0.138  0.532
Si  0.750  0.862  0.468
Si  0.750  0.638  0.968
Si  0.250  0.362  0.032
Si  0.250  0.464  0.435
Si  0.750  0.536  0.565
Si  0.750  0.964  0.065
Si  0.250  0.036  0.935
Ir  0.250  0.746  0.533
Ir  0.750  0.254  0.467
Ir  0.750  0.246  0.967
Ir  0.250  0.754  0.033
Ir  0.250  0.989  0.788
Ir  0.750  0.011  0.212
Ir  0.750  0.489  0.712
Ir  0.250  0.511  0.288


(5)
Compound: Pm3Si4Ir7
Source: Alexandria
Functional: GGA-PBE
Structure: relaxed

Calculated values
E_form (uncorrected)	-0.8739	eV per atom
symmetry	No. 12

Cell lengths 4.067, 7.895, 8.271 Å; angles 70.93, 75.77, 75.08 degrees
Fractional positions:
Pm  0.326  0.177  0.172
Pm  0.674  0.823  0.828
Pm  0.000  0.500  0.500
Si  0.667  0.449  0.217
Si  0.333  0.551  0.783
Si  0.885  0.894  0.335
Si  0.115  0.106  0.665
Ir  0.307  0.841  0.545
Ir  0.495  0.235  0.775
Ir  0.838  0.402  0.921
Ir  0.693  0.159  0.455
Ir  0.162  0.598  0.079
Ir  0.000  0.000  0.000
Ir  0.505  0.765  0.225


(6)
Compound: Pm2Si4Ir3
Source: Alexandria
Functional: GGA-PBE
Structure: relaxed

Calculated values
E_form (uncorrected)	-0.8873	eV per atom
symmetry	No. 64

Cell lengths 5.666, 7.277, 7.970 Å; angles 90.00, 110.82, 90.00 degrees
Fractional positions:
Pm  0.107  0.594  0.213
Pm  0.893  0.406  0.787
Pm  0.393  0.094  0.787
Pm  0.607  0.906  0.213
Si  0.687  0.750  0.875
Si  0.813  0.250  0.125
Si  0.313  0.250  0.125
Si  0.187  0.750  0.875
Si  0.183  0.978  0.365
Si  0.817  0.022  0.635
Si  0.317  0.478  0.635
Si  0.683  0.522  0.365
Ir  0.000  0.000  0.000
Ir  0.500  0.500  0.000
Ir  0.524  0.750  0.547
Ir  0.976  0.250  0.453
Ir  0.476  0.250  0.453
Ir  0.024  0.750  0.547


(7)
Compound: Pm3Si2Ir4
Source: Alexandria
Functional: GGA-PBE
Structure: relaxed

Calculated values
E_form (uncorrected)	-0.8459	eV per atom
symmetry	No. 12

Cell lengths 4.130, 5.771, 8.834 Å; angles 109.34, 90.00, 110.97 degrees
Fractional positions:
Pm  0.618  0.236  0.691
Pm  0.000  0.000  0.000
Pm  0.382  0.764  0.309
Si  0.666  0.332  0.307
Si  0.334  0.668  0.693
Ir  0.720  0.441  0.066
Ir  0.280  0.559  0.934
Ir  0.855  0.710  0.571
Ir  0.145  0.290  0.429


(8)
Compound: Pm12SiIr7
Source: Alexandria
Functional: GGA-PBE
Structure: relaxed

Calculated values
E_form (uncorrected)	-0.5395	eV per atom
symmetry	No. 148

Cell lengths 9.083, 9.083, 9.083 Å; angles 109.84, 109.84, 109.84 degrees
Fractional positions:
Pm  0.894  0.342  0.752
Pm  0.658  0.248  0.106
Pm  0.405  0.123  0.325
Pm  0.877  0.675  0.595
Pm  0.248  0.106  0.658
Pm  0.675  0.595  0.877
Pm  0.325  0.405  0.123
Pm  0.752  0.894  0.342
Pm  0.123  0.325  0.405
Pm  0.595  0.877  0.675
Pm  0.342  0.752  0.894
Pm  0.106  0.658  0.248
Si  0.000  0.000  0.000
Ir  0.048  0.732  0.958
Ir  0.268  0.042  0.952
Ir  0.042  0.952  0.268
Ir  0.500  0.500  0.500
Ir  0.958  0.048  0.732
Ir  0.732  0.958  0.048
Ir  0.952  0.268  0.042


(9)
Compound: Pm4SiIr2
Source: Alexandria
Functional: GGA-PBE
Structure: relaxed

Calculated values
E_form (uncorrected)	-0.5898	eV per atom
symmetry	No. 12

Cell lengths 4.521, 7.515, 7.061 Å; angles 119.72, 108.67, 90.00 degrees
Fractional positions:
Pm  0.844  0.213  0.689
Pm  0.156  0.787  0.311
Pm  0.612  0.333  0.224
Pm  0.388  0.667  0.776
Si  0.000  0.000  0.000
Ir  0.791  0.784  0.583
Ir  0.209  0.216  0.417


(10)
Compound: Pm3Si3Ir
Source: Alexandria
Functional: GGA-PBE
Structure: relaxed

Calculated values
E_form (uncorrected)	-0.4454	eV per atom
symmetry	No. 176

Cell lengths 5.834, 8.526, 8.526 Å; angles 120.00, 90.00, 90.00 degrees
Fractional positions:
Pm  0.750  0.696  0.604
Pm  0.750  0.396  0.092
Pm  0.750  0.908  0.304
Pm  0.250  0.304  0.396
Pm  0.250  0.604  0.908
Pm  0.250  0.092  0.696
Si  0.250  0.717  0.627
Si  0.250  0.373  0.090
Si  0.250  0.910  0.283
Si  0.750  0.283  0.373
Si  0.750  0.627  0.910
Si  0.750  0.090  0.717
Ir  0.250  0.667  0.333
Ir  0.750  0.333  0.667


(11)
Compound: Pm12Si6Ir
Source: Alexandria
Functional: GGA-PBE
Structure: relaxed

Calculated values
E_form (uncorrected)	-0.4333	eV per atom
symmetry	No. 148

Cell lengths 8.496, 8.496, 8.496 Å; angles 99.79, 99.79, 99.79 degrees
Fractional positions:
Pm  0.816  0.575  0.434
Pm  0.434  0.816  0.575
Pm  0.575  0.434  0.816
Pm  0.184  0.425  0.566
Pm  0.566  0.184  0.425
Pm  0.425  0.566  0.184
Pm  0.067  0.955  0.321
Pm  0.045  0.679  0.933
Pm  0.679  0.933  0.045
Pm  0.933  0.045  0.679
Pm  0.955  0.321  0.067
Pm  0.321  0.067  0.955
Si  0.696  0.870  0.379
Si  0.621  0.304  0.130
Si  0.130  0.621  0.304
Si  0.304  0.130  0.621
Si  0.379  0.696  0.870
Si  0.870  0.379  0.696
Ir  0.000  0.000  0.000


(12)
Compound: Pm3Si2Ir7
Source: Alexandria
Functional: GGA-PBE
Structure: relaxed

Calculated values
E_form (uncorrected)	-0.8217	eV per atom
symmetry	No. 166

Cell lengths 5.531, 5.531, 8.662 Å; angles 71.38, 71.38, 60.00 degrees
Fractional positions:
Pm  0.000  0.000  0.000
Pm  0.858  0.858  0.425
Pm  0.142  0.142  0.575
Si  0.665  0.665  0.004
Si  0.335  0.335  0.996
Ir  0.500  0.500  0.500
Ir  0.924  0.423  0.229
Ir  0.423  0.924  0.229
Ir  0.423  0.423  0.229
Ir  0.076  0.577  0.771
Ir  0.577  0.577  0.771
Ir  0.577  0.076  0.771


(13)
Compound: PmSi4Ir
Source: Alexandria
Functional: GGA-PBE
Structure: relaxed

Calculated values
E_form (uncorrected)	-0.5526	eV per atom
symmetry	No. 12

Cell lengths 5.805, 5.805, 8.306 Å; angles 67.03, 67.03, 60.00 degrees
Fractional positions:
Pm  0.806  0.806  0.785
Pm  0.194  0.194  0.215
Si  0.777  0.777  0.195
Si  0.084  0.659  0.386
Si  0.240  0.760  0.000
Si  0.341  0.916  0.614
Si  0.223  0.223  0.805
Si  0.916  0.341  0.614
Si  0.760  0.240  0.000
Si  0.659  0.084  0.386
Ir  0.538  0.538  0.203
Ir  0.462  0.462  0.797


(14)
Compound: Pm6Si2Ir
Source: Alexandria
Functional: GGA-PBE
Structure: relaxed

Calculated values
E_form (uncorrected)	-0.5088	eV per atom
symmetry	No. 71

Cell lengths 8.568, 8.568, 8.568 Å; angles 107.99, 110.57, 109.87 degrees
Fractional positions:
Pm  0.575  0.746  0.829
Pm  0.425  0.254  0.171
Pm  0.082  0.254  0.829
Pm  0.918  0.746  0.171
Pm  0.813  0.735  0.548
Pm  0.187  0.265  0.452
Pm  0.187  0.735  0.922
Pm  0.813  0.265  0.078
Pm  0.705  0.378  0.673
Pm  0.295  0.622  0.327
Pm  0.295  0.968  0.673
Pm  0.705  0.032  0.327
Si  0.500  0.383  0.883
Si  0.500  0.617  0.117
Si  0.633  0.000  0.633
Si  0.367  0.000  0.367
Ir  0.000  0.500  0.500
Ir  0.000  0.000  0.000


(15)
Compound: Pm4Si2Ir3
Source: Alexandria
Functional: GGA-PBE
Structure: relaxed

Calculated values
E_form (uncorrected)	-0.6975	eV per atom
symmetry	No. 12

Cell lengths 3.599, 7.279, 8.249 Å; angles 107.72, 102.60, 90.00 degrees
Fractional positions:
Pm  0.244  0.712  0.488
Pm  0.756  0.288  0.512
Pm  0.568  0.858  0.136
Pm  0.432  0.142  0.864
Si  0.394  0.537  0.789
Si  0.606  0.463  0.211
Ir  0.096  0.223  0.192
Ir  0.904  0.777  0.808
Ir  0.000  0.500  0.000


(16)
Compound: PmSi2Ir5
Source: Alexandria
Functional: GGA-PBE
Structure: relaxed

Calculated values
E_form (uncorrected)	-0.6745	eV per atom
symmetry	No. 71

Cell lengths 3.906, 6.244, 6.244 Å; angles 67.27, 71.77, 71.77 degrees
Fractional positions:
Pm  0.000  0.000  0.000
Si  0.755  0.745  0.745
Si  0.245  0.255  0.255
Ir  0.000  0.500  0.500
Ir  0.645  0.554  0.156
Ir  0.355  0.446  0.844
Ir  0.355  0.844  0.446
Ir  0.645  0.156  0.554


(17)
Compound: Pm3Si3Ir
Source: Alexandria
Functional: GGA-PBE
Structure: relaxed

Calculated values
E_form (uncorrected)	-0.8527	eV per atom
symmetry	No. 63

Cell lengths 4.138, 5.795, 13.299 Å; angles 90.00, 90.00, 110.92 degrees
Fractional positions:
Pm  0.220  0.440  0.898
Pm  0.780  0.560  0.102
Pm  0.220  0.440  0.602
Pm  0.780  0.560  0.398
Pm  0.517  0.034  0.750
Pm  0.483  0.966  0.250
Si  0.935  0.871  0.908
Si  0.065  0.129  0.092
Si  0.935  0.871  0.592
Si  0.065  0.129  0.408
Si  0.811  0.622  0.750
Si  0.189  0.378  0.250
Ir  0.500  0.000  0.000
Ir  0.500  0.000  0.500


(18)
Compound: Pm2Si4Ir5
Source: Alexandria
Functional: GGA-PBE
Structure: relaxed

Calculated values
E_form (uncorrected)	-0.8977	eV per atom
symmetry	No. 69

Cell lengths 5.639, 5.614, 7.607 Å; angles 79.27, 68.24, 59.85 degrees
Fractional positions:
Pm  0.872  0.000  0.257
Pm  0.128  0.000  0.743
Si  0.476  0.311  0.738
Si  0.524  0.689  0.262
Si  0.213  0.311  0.262
Si  0.787  0.689  0.738
Ir  0.500  0.000  0.000
Ir  0.000  0.500  0.000
Ir  0.500  0.500  0.000
Ir  0.250  0.500  0.500
Ir  0.750  0.500  0.500